i:
Compound: Cr3FeC
Source: the Alexandria database
Functional: PBE
Structure: optimized geometry

Properties
Total magnetization   6.3 μB per formula unit
V   15.72 A^3/atom

POSCAR file:
```
Cr3FeC
1.0
-0.097 3.751 -2.067
-3.896 -0.936 -1.515
-1.778 1.846 3.432
Cr C Fe
3 1 1
Cartesian
-1.948 -0.468 -0.758
-0.889 0.923 1.716
-0.049 1.875 -1.034
-2.886 2.330 -0.075
0.000 0.000 0.000
```

=====

ii:
Compound: Cr3FeC
Source: the Alexandria database
Functional: PBE
Structure: optimized geometry

Properties
Total magnetization   0.0 μB per formula unit
V   10.82 A^3/atom

POSCAR file:
```
Cr3FeC
1.0
3.782 0.000 0.000
0.000 3.782 0.000
0.000 0.000 3.782
Cr C Fe
3 1 1
Cartesian
0.000 1.891 0.000
0.000 0.000 1.891
1.891 0.000 0.000
0.000 0.000 0.000
1.891 1.891 1.891
```

=====

Of them, i has the lowest stability.

=====

i:
Compound: CrFeC2
Source: the Alexandria database
Functional: PBE
Structure: optimized geometry

Properties
Total magnetization   1.6 μB per formula unit
V   7.86 A^3/atom

POSCAR file:
```
CrFeC2
1.0
2.727 -2.065 -0.923
-0.252 -3.519 0.329
-0.220 -2.038 -2.890
Cr C Fe
1 2 1
Cartesian
0.000 0.000 0.000
0.564 -1.906 -0.871
1.692 -5.717 -2.613
1.128 -3.811 -1.742
```

=====

ii:
Compound: CrFeC2
Source: the Alexandria database
Functional: PBE
Structure: optimized geometry

Properties
Total magnetization   2.0 μB per formula unit
V   10.29 A^3/atom

POSCAR file:
```
CrFeC2
1.0
-1.674 -3.484 -1.943
2.514 0.715 -3.448
3.569 -3.889 -0.919
Cr C Fe
2 4 2
Cartesian
0.420 -1.385 -2.696
3.251 -2.280 -3.531
0.136 -3.111 -1.903
2.278 -0.911 -2.600
2.956 -3.966 -2.661
3.448 -5.330 -5.456
0.000 0.000 0.000
1.157 -4.379 -2.779
```

=====

Of them, i has the lowest stability.

=====

i:
Compound: CrFeC3
Source: the Alexandria database
Functional: PBE
Structure: optimized geometry

Properties
Total magnetization   0.9 μB per formula unit
V   9.91 A^3/atom

POSCAR file:
```
CrFeC3
1.0
-1.898 0.414 -3.116
2.993 -0.876 -1.939
-0.962 -3.542 0.115
Cr C Fe
1 3 1
Cartesian
0.066 -2.002 -2.470
1.496 -0.438 -0.970
-0.481 -1.771 0.058
-0.949 0.207 -1.558
0.000 0.000 0.000
```

=====

ii:
Compound: CrFeC3
Source: the Alexandria database
Functional: PBE
Structure: optimized geometry

Properties
Total magnetization   0.0 μB per formula unit
V   10.40 A^3/atom

POSCAR file:
```
CrFeC3
1.0
3.732 0.000 0.000
0.000 3.732 0.000
0.000 0.000 3.732
Cr C Fe
1 3 1
Cartesian
0.000 0.000 0.000
0.000 1.866 0.000
0.000 0.000 1.866
1.866 0.000 0.000
1.866 1.866 1.866
```

=====

Of them, ii has the lowest stability.

=====

i:
Compound: CrGeC3
Source: the Alexandria database
Functional: PBE
Structure: optimized geometry

Properties
Total magnetization   0.0 μB per formula unit
V   11.45 A^3/atom

POSCAR file:
```
CrGeC3
1.0
3.854 0.000 0.000
0.000 3.854 0.000
0.000 0.000 3.854
Cr Ge C
1 1 3
Cartesian
0.000 0.000 0.000
1.927 1.927 1.927
0.000 1.927 0.000
0.000 0.000 1.927
1.927 0.000 0.000
```

=====

ii:
Compound: CrGeC3
Source: the Alexandria database
Functional: PBE
Structure: optimized geometry

Properties
Total magnetization   3.4 μB per formula unit
V   12.07 A^3/atom

POSCAR file:
```
CrGeC3
1.0
-2.660 2.801 -0.682
-2.875 -2.511 0.904
0.210 1.113 3.756
Cr Ge C
1 1 3
Cartesian
-2.663 0.702 1.989
0.000 0.000 0.000
-1.438 -1.255 0.452
0.105 0.556 1.878
-1.330 1.401 -0.341
```

=====

Of them, ii has the lowest stability.

=====

i:
Compound: RbCr2GeC
Source: the Alexandria database
Functional: PBE
Structure: optimized geometry

Properties
Total magnetization   0.1 μB per formula unit
V   18.08 A^3/atom

POSCAR file:
```
RbCr2GeC
1.0
-1.130 -4.458 0.683
2.872 -0.168 3.653
-3.128 1.178 2.514
Cr Ge C Rb
2 1 1 1
Cartesian
1.436 -0.084 1.826
-0.565 -2.229 0.342
-0.693 -1.724 3.425
-1.564 0.589 1.257
0.000 0.000 0.000
```

=====

ii:
Compound: RbCr2GeC
Source: the Alexandria database
Functional: PBE
Structure: optimized geometry

Properties
Total magnetization   7.5 μB per formula unit
V   30.64 A^3/atom

POSCAR file:
```
RbCr2GeC
1.0
4.791 0.000 0.000
0.000 6.674 0.000
0.000 0.000 4.791
Cr Ge C Rb
2 1 1 1
Cartesian
0.000 0.000 2.396
2.396 0.000 0.000
0.000 0.000 0.000
2.396 3.337 2.396
0.000 3.337 0.000
```

=====

Of them, i has the lowest stability.

=====

i:
Compound: HfCr3C
Source: the Alexandria database
Functional: PBE
Structure: optimized geometry

Properties
Total magnetization   0.0 μB per formula unit
V   18.28 A^3/atom

POSCAR file:
```
HfCr3C
1.0
4.505 0.000 0.000
0.000 4.505 0.000
0.000 0.000 4.505
Cr C Hf
3 1 1
Cartesian
0.000 2.252 0.000
0.000 0.000 2.252
2.252 0.000 0.000
2.252 2.252 2.252
0.000 0.000 0.000
```

=====

ii:
Compound: HfCr3C
Source: the Alexandria database
Functional: PBE
Structure: optimized geometry

Properties
Total magnetization   1.3 μB per formula unit
V   12.46 A^3/atom

POSCAR file:
```
HfCr3C
1.0
3.965 0.000 0.000
0.000 3.965 0.000
0.000 0.000 3.965
Cr C Hf
3 1 1
Cartesian
0.000 1.982 0.000
0.000 0.000 1.982
1.982 0.000 0.000
0.000 0.000 0.000
1.982 1.982 1.982
```

=====

Of them, i has the lowest stability.

=====

i:
Compound: HfCrC3
Source: the Alexandria database
Functional: PBE
Structure: optimized geometry

Properties
Total magnetization   0.5 μB per formula unit
V   14.65 A^3/atom

POSCAR file:
```
HfCrC3
1.0
-2.777 3.125 0.172
-3.016 -2.611 -1.262
-0.835 -0.962 3.986
Cr C Hf
1 3 1
Cartesian
-3.314 -0.224 1.448
-1.508 -1.306 -0.631
-0.418 -0.481 1.993
-1.389 1.562 0.086
0.000 0.000 0.000
```

=====

ii:
Compound: HfCrC3
Source: the Alexandria database
Functional: PBE
Structure: optimized geometry

Properties
Total magnetization   0.0 μB per formula unit
V   10.58 A^3/atom

POSCAR file:
```
HfCrC3
1.0
3.754 0.000 0.000
0.000 3.754 0.000
0.000 0.000 3.754
Cr C Hf
1 3 1
Cartesian
0.000 0.000 0.000
0.000 1.877 0.000
0.000 0.000 1.877
1.877 0.000 0.000
1.877 1.877 1.877
```

=====

Of them, i has the lowest stability.

=====

i:
Compound: CrHg3C
Source: the Alexandria database
Functional: PBE
Structure: optimized geometry

Properties
Total magnetization   4.5 μB per formula unit
V   21.22 A^3/atom

POSCAR file:
```
CrHg3C
1.0
4.734 0.000 0.000
0.000 4.734 0.000
0.000 0.000 4.734
Cr C Hg
1 1 3
Cartesian
2.367 2.367 2.367
0.000 0.000 0.000
0.000 2.367 0.000
0.000 0.000 2.367
2.367 0.000 0.000
```

=====

ii:
Compound: CrHg3C
Source: the Alexandria database
Functional: PBE
Structure: optimized geometry

Properties
Total magnetization   2.3 μB per formula unit
V   27.82 A^3/atom

POSCAR file:
```
CrHg3C
1.0
5.181 0.000 0.000
0.000 5.181 0.000
0.000 0.000 5.181
Cr C Hg
1 1 3
Cartesian
0.000 0.000 0.000
2.591 2.591 2.591
0.000 2.591 0.000
0.000 0.000 2.591
2.591 0.000 0.000
```

=====

Of them, ii has the lowest stability.

=====

i:
Compound: Cr2NiHgC
Source: the Alexandria database
Functional: PBE
Structure: optimized geometry

Properties
Total magnetization   8.0 μB per formula unit
V   21.07 A^3/atom

POSCAR file:
```
Cr2NiHgC
1.0
-4.494 -2.518 -0.893
1.158 -0.795 -3.589
2.160 -4.453 1.684
Ni C Hg Cr
1 1 1 2
Cartesian
-0.588 -3.883 -1.399
0.579 -0.398 -1.794
0.000 0.000 0.000
1.080 -2.227 0.842
-2.247 -1.259 -0.446
```

=====

ii:
Compound: Cr2NiHgC
Source: the Alexandria database
Functional: PBE
Structure: optimized geometry

Properties
Total magnetization   6.8 μB per formula unit
V   19.45 A^3/atom

POSCAR file:
```
Cr2NiHgC
1.0
4.523 0.000 0.000
0.000 4.752 0.000
0.000 0.000 4.523
Ni C Hg Cr
1 1 1 2
Cartesian
0.000 0.000 0.000
2.262 2.376 2.262
0.000 2.376 0.000
0.000 0.000 2.262
2.262 0.000 0.000
```

=====

Of them, i has the lowest stability.

=====

i:
Compound: CrCI2
Source: the Alexandria database
Functional: PBE
Structure: optimized geometry

Properties
Total magnetization   0.0 μB per formula unit
V   24.09 A^3/atom

POSCAR file:
```
CrCI2
1.0
5.812 0.000 0.000
0.000 5.812 0.000
2.906 2.906 5.705
I Cr C
4 2 2
Cartesian
4.334 1.453 1.426
1.478 4.359 1.426
4.359 4.384 4.279
7.264 7.240 4.279
0.000 0.000 0.000
5.812 2.906 2.853
2.906 2.906 0.000
2.906 5.812 2.853
```

=====

ii:
Compound: CrCI2
Source: the Alexandria database
Functional: PBE
Structure: optimized geometry

Properties
Total magnetization   0.0 μB per formula unit
V   18.25 A^3/atom

POSCAR file:
```
CrCI2
1.0
-4.679 0.318 0.099
-2.384 0.761 -3.968
-2.623 -3.420 -1.853
I Cr C
2 1 1
Cartesian
-2.421 -0.585 -1.431
-7.264 -1.756 -4.292
-4.843 -1.171 -2.861
0.000 0.000 0.000
```

=====

Of them, ii has the lowest stability.

=====

i:
Compound: Cr3CI
Source: the Alexandria database
Functional: PBE
Structure: optimized geometry

Properties
Total magnetization   12.9 μB per formula unit
V   29.05 A^3/atom

POSCAR file:
```
Cr3CI
1.0
-4.920 0.063 1.848
1.791 -1.151 4.806
0.462 5.128 1.056
I Cr C
1 3 1
Cartesian
0.000 0.000 0.000
0.895 -0.576 2.403
0.231 2.564 0.528
-2.460 0.031 0.924
-1.334 2.020 3.855
```

=====

ii:
Compound: Cr3CI
Source: the Alexandria database
Functional: PBE
Structure: optimized geometry

Properties
Total magnetization   3.6 μB per formula unit
V   12.94 A^3/atom

POSCAR file:
```
Cr3CI
1.0
-2.821 2.703 -0.923
0.164 -1.142 -3.845
-2.851 -2.739 0.692
I Cr C
1 3 1
Cartesian
-2.754 -0.589 -2.038
0.082 -0.571 -1.922
-1.426 -1.370 0.346
-1.410 1.351 -0.462
0.000 0.000 0.000
```

=====

Of them, i has the lowest stability.

=====

i:
Compound: CrTe2CI
Source: the Alexandria database
Functional: PBE
Structure: optimized geometry

Properties
Total magnetization   3.7 μB per formula unit
V   29.66 A^3/atom

POSCAR file:
```
CrTe2CI
1.0
5.187 0.000 0.000
0.000 5.187 0.000
0.000 0.000 5.511
I Cr C Te
1 1 1 2
Cartesian
0.000 0.000 2.756
0.000 0.000 0.000
2.594 2.594 2.756
0.000 2.594 0.000
2.594 0.000 0.000
```

=====

ii:
Compound: CrTe2CI
Source: the Alexandria database
Functional: PBE
Structure: optimized geometry

Properties
Total magnetization   3.6 μB per formula unit
V   23.20 A^3/atom

POSCAR file:
```
CrTe2CI
1.0
4.796 0.000 0.000
0.000 4.796 0.000
0.000 0.000 5.042
I Cr C Te
1 1 1 2
Cartesian
0.000 0.000 2.521
2.398 2.398 2.521
0.000 0.000 0.000
0.000 2.398 0.000
2.398 0.000 0.000
```

=====

Of them, i has the lowest stability.